Entry from Alexandria via LeMat-Bulk: MnRuW after structural relaxation (PBE-GGA).

Unit cell a=5.3703 b=5.3703 c=10.6518 alpha=90.00 beta=90.00 gamma=120.00
Element x y z (fractional)
Mn1 0.2194 0.6097 0.1667
Mn2 0.3903 0.6097 0.8333
Mn3 0.3903 0.7806 0.5000
Mn4 0.6097 0.2194 0.5000
Mn5 0.6097 0.3903 0.8333
Mn6 0.7806 0.3903 0.1667
Ru1 0.0000 0.5000 0.3803
Ru2 0.0000 0.5000 0.9530
Ru3 0.5000 0.0000 0.2864
Ru4 0.5000 0.0000 0.7136
Ru5 0.5000 0.5000 0.0470
Ru6 0.5000 0.5000 0.6197
W1 0.0000 0.0000 0.1667
W2 0.0000 0.0000 0.5000
W3 0.0000 0.0000 0.8333
W4 0.0000 0.5000 0.6667
W5 0.5000 0.0000 0.0000
W6 0.5000 0.5000 0.3333

Properties
ΔE_f: 1.72 eV/f.u.
Offset from the most stable computed form: 486 meV/atom


Entry from Alexandria via LeMat-Bulk: PrPuVN4 after structural relaxation (PBE-GGA).

Unit cell a=6.8820 b=6.8820 c=5.3779 alpha=90.00 beta=90.00 gamma=134.23
Element x y z (fractional)
Pr1 0.1091 0.8909 0.7500
Pr2 0.8909 0.1091 0.2500
Pu1 0.3939 0.6061 0.7500
Pu2 0.6061 0.3939 0.2500
V1 0.2274 0.7726 0.2500
V2 0.7726 0.2274 0.7500
N1 0.0000 0.5000 0.0000
N2 0.0000 0.5000 0.5000
N3 0.0852 0.9148 0.2500
N4 0.4415 0.5585 0.2500
N5 0.5000 0.0000 0.0000
N6 0.5000 0.0000 0.5000
N7 0.5585 0.4415 0.7500
N8 0.9148 0.0852 0.7500

Properties
E_form (uncorrected): -1.06 eV per atom


Entry from Alexandria via LeMat-Bulk: NaPt after structural relaxation (PBE-GGA).

Unit cell a=5.2905 b=5.2905 c=5.2979 alpha=114.16 beta=114.16 gamma=31.28
Element x y z (fractional)
Na1 0.1167 0.1167 0.4557
Na2 0.8833 0.8833 0.5443
Pt1 0.3662 0.3662 0.0120
Pt2 0.6338 0.6338 0.9880

Properties
ΔE_f: -0.39 eV/f.u.


Entry from Alexandria via LeMat-Bulk: BSeN2Cl after structural relaxation (PBE-GGA).

Unit cell a=3.4142 b=3.4142 c=7.4299 alpha=90.00 beta=90.00 gamma=90.00
Element x y z (fractional)
B1 0.0000 0.0000 0.0000
Se1 0.5000 0.5000 0.0000
N1 0.0000 0.5000 0.5000
N2 0.5000 0.0000 0.5000
Cl1 0.5000 0.5000 0.5000

Properties
E_form (uncorrected): 2.56 eV per atom
Offset from the most stable computed form: 1180 meV/atom


Entry from Alexandria via LeMat-Bulk: Al3Ni2 after structural relaxation (PBE-GGA).

Unit cell a=10.1275 b=10.1275 c=10.1275 alpha=15.73 beta=15.73 gamma=15.73
Element x y z (fractional)
Al1 0.0000 0.0000 0.0000
Al2 0.2051 0.2051 0.2051
Al3 0.7949 0.7949 0.7949
Ni1 0.3976 0.3976 0.3976
Ni2 0.6024 0.6024 0.6024

Properties
ΔE_f: -1.80 eV/f.u.


Entry from Alexandria via LeMat-Bulk: La6PuCd5 after structural relaxation (PBE-GGA).

Unit cell a=9.6382 b=9.6382 c=9.6382 alpha=146.19 beta=132.26 gamma=59.77
Element x y z (fractional)
La1 0.0838 0.8346 0.2493
La2 0.2505 0.5000 0.7505
La3 0.4147 0.1654 0.2493
La4 0.5853 0.8346 0.7507
La5 0.7495 0.5000 0.2495
La6 0.9162 0.1654 0.7507
Pu1 0.0000 0.0000 0.0000
Cd1 0.1647 0.6647 0.5000
Cd2 0.3332 0.3332 0.0000
Cd3 0.5000 0.0000 0.5000
Cd4 0.6668 0.6668 0.0000
Cd5 0.8353 0.3353 0.5000

Properties
ΔE_f: -2.89 eV/f.u.


Entry from Alexandria via LeMat-Bulk: MgU2Si2O17 after structural relaxation (PBE-GGA).

Unit cell a=9.2609 b=9.2609 c=6.7064 alpha=97.43 beta=97.43 gamma=44.68
Element x y z (fractional)
Mg1 0.0000 0.0000 0.0000
U1 0.2605 0.2605 0.6455
U2 0.7395 0.7395 0.3545
Si1 0.2073 0.2073 0.1592
Si2 0.7927 0.7927 0.8408
O1 0.0000 0.0000 0.5000
O2 0.0554 0.4134 0.3121
O3 0.1142 0.1142 0.0750
O4 0.1394 0.8527 0.7109
O5 0.1473 0.8606 0.2891
O6 0.1541 0.1541 0.6171
O7 0.2566 0.2566 0.9670
O8 0.3659 0.3659 0.6361
O9 0.4134 0.0554 0.3121
O10 0.5866 0.9446 0.6879
O11 0.6341 0.6341 0.3639
O12 0.7434 0.7434 0.0330
O13 0.8459 0.8459 0.3829
O14 0.8527 0.1394 0.7109
O15 0.8606 0.1473 0.2891
O16 0.8858 0.8858 0.9250
O17 0.9446 0.5866 0.6879

Properties
E_form (uncorrected): -1.52 eV per atom


Entry from Alexandria via LeMat-Bulk: BeTcGeH2 after structural relaxation (PBE-GGA).

Unit cell a=3.3512 b=3.3512 c=6.1532 alpha=90.00 beta=90.00 gamma=90.00
Element x y z (fractional)
Be1 0.0000 0.0000 0.0000
Tc1 0.5000 0.5000 0.5000
Ge1 0.0000 0.0000 0.5000
H1 0.0000 0.5000 0.0000
H2 0.5000 0.0000 0.0000

Properties
Final energy: -21.7 eV for the cell shown


Entry from Alexandria via LeMat-Bulk: HoTmGePd after structural relaxation (PBE-GGA).

Unit cell a=4.2980 b=5.7227 c=5.7227 alpha=39.32 beta=90.00 gamma=90.00
Element x y z (fractional)
Ho1 0.0000 0.0000 0.0000
Tm1 0.5000 0.7205 0.7205
Ge1 0.0000 0.2764 0.2764
Pd1 0.5000 0.4399 0.4399

Properties
ΔE_f: -3.60 eV/f.u.
Offset from the most stable computed form: 0 meV/atom


Entry from Alexandria via LeMat-Bulk: Rb3NdEr2S6 after structural relaxation (PBE-GGA).

Unit cell a=7.1112 b=7.1112 c=8.0544 alpha=98.47 beta=98.47 gamma=120.00
Element x y z (fractional)
Rb1 0.0000 0.0000 0.0000
Rb2 0.3347 0.6653 0.0000
Rb3 0.6653 0.3347 0.0000
Nd1 0.5000 0.5000 0.5000
Er1 0.1668 0.8332 0.5000
Er2 0.8332 0.1668 0.5000
S1 0.0920 0.4358 0.3074
S2 0.2203 0.2203 0.6923
S3 0.4358 0.0920 0.3074
S4 0.5642 0.9080 0.6926
S5 0.7797 0.7797 0.3077
S6 0.9080 0.5642 0.6926

Properties
E_form (uncorrected): -1.84 eV per atom


no.,magnetization (μB per atom)
1,0.000
2,0.564
3,0.000
4,0.050
5,0.000
6,0.653
7,0.289
8,0.206
9,0.000
10,0.000